CaTl2P (PBE-GGA, optimized geometry); raw total energy = -12.2 eV per formula unit; energy above the most stable polymorph in this dataset = 0.3704 eV/atom
1.0
0.000 3.745 3.745
3.745 0.000 3.745
3.745 3.745 0.000
Ca Tl P
1 2 1
direct
0.000 0.000 0.000
0.250 0.250 0.250
0.750 0.750 0.750
0.500 0.500 0.500